Record 1
The following is a GGA-PBE calculation of a relaxed structure of NbHgTe2, from Alexandria.

Unit cell a=15.790 b=8.054 c=8.054 alpha=79.49 beta=104.36 gamma=75.64
Sites, in units of the cell vectors:
Hg1 0.209 0.521 0.478
Hg2 0.291 0.978 0.021
Hg3 0.090 0.525 0.139
Hg4 0.791 0.479 0.522
Hg5 0.590 0.361 0.975
Hg6 0.709 0.022 0.979
Hg7 0.910 0.475 0.861
Hg8 0.410 0.639 0.025
Nb1 0.670 0.089 0.316
Nb2 0.170 0.184 0.411
Nb3 0.640 0.775 0.216
Nb4 0.830 0.816 0.589
Nb5 0.860 0.716 0.275
Nb6 0.330 0.911 0.684
Nb7 0.360 0.225 0.784
Nb8 0.140 0.284 0.725
Te1 0.146 0.941 0.674
Te2 0.750 0.152 0.652
Te3 0.250 0.437 0.937
Te4 0.070 0.182 0.020
Te5 0.250 0.848 0.348
Te6 0.985 0.344 0.414
Te7 0.430 0.520 0.682
Te8 0.854 0.059 0.326
Te9 0.570 0.480 0.318
Te10 0.750 0.563 0.063
Te11 0.646 0.826 0.559
Te12 0.015 0.656 0.586
Te13 0.354 0.174 0.441
Te14 0.930 0.818 0.980
Te15 0.485 0.086 0.156
Te16 0.515 0.914 0.844

The calculation puts the volume at 928.3 Å³/cell. The calculation puts the uncorrected formation energy at -0.5 eV per formula unit.



Record 2
The following is a GGA-PBE calculation of a relaxed structure of Ca2PuSi2Rh5, from Alexandria.

Unit cell a=3.472 b=10.069 c=10.069 alpha=90.00 beta=90.00 gamma=90.00
Each line ends with the local moment (μB).
Sites, in units of the cell vectors:
Rh1 0.500 0.429 0.281  -0.05
Rh2 0.500 0.719 0.429  -0.05
Rh3 0.500 0.571 0.719  -0.05
Rh4 0.500 0.500 0.000  -0.01
Rh5 0.500 0.000 0.500  -0.01
Rh6 0.500 0.219 0.071  -0.05
Rh7 0.500 0.281 0.571  -0.05
Rh8 0.500 0.071 0.781  -0.05
Rh9 0.500 0.929 0.219  -0.05
Rh10 0.500 0.781 0.929  -0.05
Pu1 0.000 0.500 0.500  4.86
Pu2 0.000 0.000 0.000  4.86
Ca1 0.000 0.327 0.827  0.01
Ca2 0.000 0.827 0.673  0.01
Ca3 0.000 0.673 0.173  0.01
Ca4 0.000 0.173 0.327  0.01
Si1 0.000 0.123 0.623  0.01
Si2 0.000 0.623 0.877  0.01
Si3 0.000 0.377 0.123  0.01
Si4 0.000 0.877 0.377  0.01

The calculation puts the volume at 352.0 Å³/cell. The calculation puts the uncorrected formation energy at -7.3 eV per formula unit.



Record 3
The following is a GGA-PBE calculation of a relaxed structure of Ac4Cd5Bi7, from Alexandria.

Unit cell a=6.959 b=6.959 c=11.552 alpha=107.53 beta=107.53 gamma=90.00
Sites, in units of the cell vectors:
Cd1 0.748 0.748 0.496
Cd2 0.252 0.252 0.504
Cd3 0.250 0.750 0.500
Cd4 0.000 0.000 0.000
Cd5 0.750 0.250 0.500
Bi1 0.000 0.500 0.000
Bi2 0.092 0.606 0.698
Bi3 0.606 0.092 0.698
Bi4 0.908 0.908 0.302
Bi5 0.500 0.500 0.000
Bi6 0.500 0.000 0.000
Bi7 0.394 0.394 0.302
Ac1 0.136 0.136 0.762
Ac2 0.864 0.374 0.238
Ac3 0.626 0.626 0.762
Ac4 0.374 0.864 0.238

The calculation puts the volume at 506.1 Å³/cell. As for the formation energy: -0.461 eV per atom.



Q: volume of number 3 (Ac4Cd5Bi7)?
A: 506.1 Å³/cell